Material: KMo2Cl
Method: DFT, GGA-PBE
State: optimized geometry

The value obtained for the polymorph energy (0 for the lowest one) is 0.982 eV per atom. The calculation puts the uncorrected formation energy at 102 kJ/mol of atoms. Its density of states at the Fermi level is 11.051 states/eV per cell.

It has space group Cmmm (No. 65), with a = 5.182 Å, b = 15.380 Å, c = 2.650 Å, α = 90.00°, β = 90.00° and γ = 90.00°. The asymmetric unit holds K at (0.000, 0.000, 0.000), Mo at (0.250, 0.250, 0.500) and Cl at (0.000, 0.500, 0.000).

***

Material: P2C
Method: DFT, GGA-PBE
State: optimized geometry

The value obtained for the polymorph energy (0 for the lowest one) is 0.168 eV per atom. Its density of states at the Fermi level is 1.526 states/eV per cell.

It has space group Amm2 (No. 38), with a = 3.207 Å, b = 2.827 Å, c = 8.211 Å, α = 90.00°, β = 90.00° and γ = 90.00°. The asymmetric unit holds P at (0.000, 0.000, 0.000), P at (0.500, 0.000, 0.208) and C at (0.000, 0.000, 0.369).

***

Material: KHRh2
Method: DFT, GGA-PBE
State: optimized geometry

The value obtained for the polymorph energy (0 for the lowest one) is 0.000 eV per atom. Its density of states at the Fermi level is 36.252 states/eV per cell.

It has space group Fd-3m (No. 227, origin choice 2), with a = 8.112 Å, b = 8.112 Å, c = 8.112 Å, α = 90.00°, β = 90.00° and γ = 90.00°. The asymmetric unit holds K at (0.125, 0.125, 0.125), H at (0.125, 0.125, 0.625) and Rh at (0.000, 0.000, 0.500).

***

Material: CsNpGaS4
Method: DFT, GGA-PBE
State: optimized geometry

The calculation puts the uncorrected formation energy at -106 kJ/mol of atoms. Its density of states at the Fermi level is 16.431 states/eV per cell.

It has space group P2_1/m (No. 11), with a = 6.471 Å, b = 6.735 Å, c = 9.582 Å, α = 90.00°, β = 109.33° and γ = 90.00°. The asymmetric unit holds Cs at (0.241, 0.250, 0.444), Np at (0.278, 0.250, 0.952), Ga at (0.270, 0.750, 0.156), S at (0.032, 0.750, 0.922), S at (0.067, 0.750, 0.307) and S at (0.484, 0.507, 0.813).